DFT (PBE-GGA) results for LiP3 after structural relaxation.

```
data_LiP3
_cell_length_a 3.213
_cell_length_b 4.778
_cell_length_c 4.477
_cell_angle_alpha 90.00
_cell_angle_beta 90.00
_cell_angle_gamma 90.00
_symmetry_space_group_name_H-M 'P m m 2'
_symmetry_Int_Tables_number 25
loop_
_symmetry_equiv_pos_as_xyz
'x,y,z'
'-x,-y,z'
'-x,y,z'
'x,-y,z'
loop_
_atom_site_label
_atom_site_type_symbol
_atom_site_fract_x
_atom_site_fract_y
_atom_site_fract_z
Li1 Li 0.000 0.000 0.000
P1 P 0.000 0.500 0.311
P2 P 0.500 0.000 0.475
P3 P 0.500 0.500 0.646
```

Energy relative to the elements   0.04 eV per atom
Relative energy among the computed polymorphs   27.1 kJ/mol of formula units

***

DFT (PBE-GGA) results for NpSn2Te4 after structural relaxation.

```
data_NpSn2Te4
_cell_length_a 4.279
_cell_length_b 14.993
_cell_length_c 14.604
_cell_angle_alpha 90.00
_cell_angle_beta 90.00
_cell_angle_gamma 90.00
_symmetry_space_group_name_H-M 'C m c m'
_symmetry_Int_Tables_number 63
_symmetry_space_group_name_Hall '-C 2c 2'
loop_
_atom_site_label
_atom_site_type_symbol
_atom_site_fract_x
_atom_site_fract_y
_atom_site_fract_z
Np1 Np 0.000 0.114 0.250
Sn1 Sn 0.000 0.367 0.065
Te1 Te 0.000 0.000 0.000
Te2 Te 0.000 0.284 0.627
Te3 Te 0.000 0.468 0.250
```

Uncorrected formation energy   -2.39 eV per formula unit

***

Values for calculated total energy, eV/atom, ordered as above
-4.49; -5.13